1.
Compound: Dy6Tm12Tl
Source: Alexandria
Functional: GGA-PBE
Structure: relaxed

Cell and atoms, written as POSCAR:
```
Dy6Tm12Tl
1.0
8.289 0.680 0.814
-0.585 8.296 0.814
-0.585 -0.681 8.308
Tm Dy Tl
12 6 1
Direct
0.566 0.222 0.460
0.222 0.460 0.566
0.778 0.540 0.434
0.540 0.434 0.778
0.189 0.361 0.012
0.639 0.988 0.811
0.988 0.811 0.639
0.012 0.189 0.361
0.434 0.778 0.540
0.361 0.012 0.189
0.460 0.566 0.222
0.811 0.639 0.988
0.301 0.741 0.906
0.741 0.906 0.301
0.699 0.259 0.094
0.094 0.699 0.259
0.906 0.301 0.741
0.259 0.094 0.699
0.000 0.000 0.000
```

Computed properties:
Energy of formation from the pure elements   0.094 eV/atom
SG   R-3 (148)


2.
Compound: Pr2YInO
Source: Alexandria
Functional: GGA-PBE
Structure: relaxed

Cell and atoms, written as POSCAR:
```
Pr2YInO
1.0
-4.324 0.780 1.866
-2.134 -1.349 -4.382
-0.189 -4.803 1.571
Pr Y In O
2 1 1 1
Direct
0.000 0.000 0.500
0.000 0.500 0.000
0.500 0.000 0.000
0.500 0.500 0.500
0.000 0.000 0.000
```

Computed properties:
SG   P4/mmm (123)
Formation energy (no corrections)   -1396 meV/atom


3.
Compound: Rb3Hf2O3F4
Source: Alexandria
Functional: GGA-PBE
Structure: relaxed

Cell and atoms, written as POSCAR:
```
Rb3Hf2O3F4
1.0
-2.232 -0.247 -3.654
3.218 -1.704 -1.851
-5.075 -11.648 6.405
Rb O F Hf
3 3 4 2
Direct
0.329 0.327 0.654
0.502 0.500 0.000
0.676 0.673 0.346
0.002 0.000 0.000
0.926 0.423 0.846
0.079 0.577 0.154
0.578 0.076 0.152
0.854 0.852 0.704
0.150 0.148 0.296
0.426 0.924 0.848
0.929 0.927 0.853
0.076 0.073 0.147
```

Computed properties:
SG   Immm (71)
Formation energy (no corrections)   -2960 meV/atom


4.
Compound: SnOs
Source: Alexandria
Functional: GGA-PBE
Structure: relaxed

Cell and atoms, written as POSCAR:
```
SnOs
1.0
-9.217 -3.535 0.082
0.424 -0.878 9.824
-1.457 3.808 0.403
Os Sn
8 8
Direct
0.112 0.456 0.500
0.816 0.671 0.000
0.329 0.816 0.000
0.456 0.888 0.500
0.888 0.544 0.500
0.671 0.184 0.000
0.544 0.112 0.500
0.184 0.329 0.000
0.630 0.675 0.500
0.370 0.325 0.500
0.916 0.311 0.000
0.084 0.689 0.000
0.325 0.630 0.500
0.675 0.370 0.500
0.689 0.916 0.000
0.311 0.084 0.000
```

Computed properties:
Energy of formation from the pure elements   0.570 eV/atom
SG   P4/m (83)


no.,total energy (eV for the cell shown)
1,-81.84
2,-30.70
3,-80.69
4,-112.74